No. 1
The following is a DFT calculation (PBE) of a geometry-optimized Tb4Tm4Th3 structure.

Unit cell a=3.5523 b=5.6665 c=17.9368 alpha=99.09 beta=101.41 gamma=90.01
Element x y z (fractional)
1 Tb 0.9400 0.7201 0.4399
2 Tb 0.3026 0.9017 0.8035
3 Tb 0.0600 0.2799 0.5601
4 Tb 0.6974 0.0984 0.1965
5 Th 0.2625 0.6310 0.2616
6 Th 0.0000 0.0000 0.0000
7 Th 0.7375 0.3691 0.7384
8 Tm 0.6202 0.8102 0.6206
9 Tm 0.5925 0.5459 0.0913
10 Tm 0.3798 0.1898 0.3794
11 Tm 0.4075 0.4541 0.9087

Properties
SG = P-1, No. 2
Excess energy over the best structure of this formula in the dataset = 0.000 eV per atom

---

No. 2
The following is a DFT calculation (PBE) of a geometry-optimized Tb5Tm4Th4 structure.

Unit cell a=5.0263 b=9.3820 c=9.3820 alpha=85.89 beta=74.46 gamma=74.46
Element x y z (fractional)
1 Tb 0.5387 0.7668 0.1558
2 Tb 0.4613 0.2332 0.8442
3 Tb 0.0000 0.0000 0.0000
4 Tb 0.6945 0.8442 0.7668
5 Tb 0.3055 0.1558 0.2332
6 Tm 0.1535 0.0796 0.6134
7 Tm 0.7669 0.3866 0.0796
8 Tm 0.2331 0.6134 0.9204
9 Tm 0.8465 0.9204 0.3866
10 Th 0.9252 0.4598 0.6899
11 Th 0.6150 0.3101 0.4598
12 Th 0.3850 0.6899 0.5402
13 Th 0.0748 0.5402 0.3101

Properties
SG = I4/m, No. 87

---

No. 3
The following is a DFT calculation (PBE) of a geometry-optimized Tb3Tm7Th structure.

Unit cell a=8.5819 b=6.9611 c=6.9611 alpha=120.00 beta=90.00 gamma=90.00
Element x y z (fractional)
1 Tm 0.1213 0.6623 0.8312
2 Tm 0.1170 0.6667 0.3333
3 Tm 0.1213 0.1688 0.8312
4 Tm 0.4469 0.8327 0.1673
5 Tm 0.4469 0.8327 0.6654
6 Tm 0.1213 0.1688 0.3377
7 Tm 0.4469 0.3346 0.1673
8 Tb 0.7822 0.4987 0.9974
9 Tb 0.7822 0.4987 0.5013
10 Tb 0.7822 0.0026 0.5013
11 Th 0.4470 0.3333 0.6667

Properties
SG = P3m1, No. 156
Excess energy over the best structure of this formula in the dataset = 0.029 eV per atom

---

No. 4
The following is a DFT calculation (PBE) of a geometry-optimized TbTm4Th structure.

Unit cell a=6.4861 b=6.4861 c=6.4861 alpha=60.00 beta=60.00 gamma=60.00
Element x y z (fractional)
1 Tm 0.6248 0.1256 0.6248
2 Tm 0.6248 0.6248 0.1256
3 Tm 0.1256 0.6248 0.6248
4 Tm 0.6248 0.6248 0.6248
5 Th 0.2500 0.2500 0.2500
6 Tb 0.0000 0.0000 0.0000

Properties
SG = F-43m, No. 216
Excess energy over the best structure of this formula in the dataset = 0.304 eV per atom

---

No. 5
The following is a DFT calculation (PBE) of a geometry-optimized Tb3Tm6Th structure.

Unit cell a=8.9119 b=8.8869 c=8.8869 alpha=116.69 beta=90.00 gamma=90.00
Element x y z (fractional)
1 Tb 0.9285 0.0282 0.3199
2 Tb 0.9285 0.6801 0.9718
3 Tb 0.9171 0.4501 0.5499
4 Tb 0.4171 0.5499 0.4501
5 Tb 0.4285 0.3199 0.0282
6 Tb 0.4285 0.9718 0.6801
7 Tm 0.6574 0.2852 0.7148
8 Tm 0.7713 0.8280 0.5313
9 Tm 0.1005 0.3009 0.1818
10 Tm 0.1005 0.8182 0.6991
11 Tm 0.7896 0.0547 0.9453
12 Tm 0.2896 0.9453 0.0547
13 Tm 0.2713 0.5313 0.8280
14 Tm 0.2713 0.1720 0.4687
15 Tm 0.1574 0.7148 0.2852
16 Tm 0.6005 0.1818 0.3009
17 Tm 0.7713 0.4687 0.1720
18 Tm 0.6005 0.6991 0.8182
19 Th 0.5208 0.7757 0.2243
20 Th 0.0208 0.2243 0.7757

Properties
SG = Cmc2_1, No. 36
Excess energy over the best structure of this formula in the dataset = 0.000 eV per atom

---

No. 6
The following is a DFT calculation (PBE) of a geometry-optimized Tb4Tm2Th structure.

Unit cell a=3.5848 b=3.5578 c=20.1282 alpha=92.91 beta=90.00 gamma=120.25
Element x y z (fractional)
1 Tb 0.4549 0.9098 0.8097
2 Tb 0.0252 0.0504 0.2373
3 Tb 0.4027 0.8053 0.5207
4 Tb 0.9722 0.9444 0.9582
5 Tm 0.7132 0.4265 0.3790
6 Tm 0.6651 0.3301 0.0971
7 Th 0.7681 0.5362 0.6659

Properties
SG = Cm, No. 8
Excess energy over the best structure of this formula in the dataset = 0.012 eV per atom

---

No. 7
The following is a DFT calculation (PBE) of a geometry-optimized Tb6TmTh2 structure.

Unit cell a=3.5650 b=3.5650 c=26.3098 alpha=90.00 beta=90.00 gamma=120.00
Element x y z (fractional)
1 Tb 0.3333 0.6667 0.4363
2 Tb 0.3333 0.6667 0.2164
3 Tb 0.6667 0.3333 0.8930
4 Tb 0.3333 0.6667 0.5637
5 Tb 0.6667 0.3333 0.1070
6 Tb 0.3333 0.6667 0.7836
7 Tm 0.3333 0.6667 0.0000
8 Th 0.6667 0.3333 0.3283
9 Th 0.6667 0.3333 0.6717

Properties
SG = P-6m2, No. 187
Excess energy over the best structure of this formula in the dataset = 0.040 eV per atom

---

No. 8
The following is a DFT calculation (PBE) of a geometry-optimized Tb4Tm2Th5 structure.

Unit cell a=3.4672 b=8.8102 c=11.6185 alpha=85.23 beta=90.00 gamma=90.00
Element x y z (fractional)
1 Tb 0.5000 0.7115 0.4466
2 Tb 0.5000 0.2885 0.5534
3 Tb 0.5000 0.1602 0.1019
4 Tb 0.5000 0.8398 0.8981
5 Tm 0.0000 0.0585 0.3638
6 Tm 0.0000 0.9415 0.6362
7 Th 0.0000 0.2036 0.8270
8 Th 0.0000 0.7964 0.1730
9 Th 0.0000 0.4307 0.2913
10 Th 0.0000 0.5000 0.0000
11 Th 0.0000 0.5693 0.7087

Properties
SG = P2/m, No. 10

---

No. 9
The following is a DFT calculation (PBE) of a geometry-optimized TbTmTh structure.

Unit cell a=3.5665 b=3.5665 c=7.8677 alpha=103.10 beta=103.10 gamma=90.00
Element x y z (fractional)
1 Tm 0.6720 0.6720 0.3440
2 Th 0.3324 0.3324 0.6647
3 Tb 0.9956 0.9956 0.9912

Properties
SG = I4mm, No. 107
Excess energy over the best structure of this formula in the dataset = 0.004 eV per atom

---

No. 10
The following is a DFT calculation (PBE) of a geometry-optimized TbTm2Th structure.

Unit cell a=5.6256 b=5.6256 c=5.6256 alpha=60.00 beta=60.00 gamma=60.00
Element x y z (fractional)
1 Tm 0.7500 0.7500 0.7500
2 Tm 0.2500 0.2500 0.2500
3 Tb 0.0000 0.0000 0.0000
4 Th 0.5000 0.5000 0.5000

Properties
SG = Fm-3m, No. 225
Excess energy over the best structure of this formula in the dataset = 0.101 eV per atom

---

No. 11
The following is a DFT calculation (PBE) of a geometry-optimized Tb3Tm7Th structure.

Unit cell a=5.4318 b=9.9184 c=8.7801 alpha=105.96 beta=128.20 gamma=90.00
Element x y z (fractional)
1 Tb 0.2827 0.0034 0.7830
2 Tb 0.7173 0.9966 0.2170
3 Tb 0.0000 0.5000 0.0000
4 Tm 0.9088 0.8298 0.9088
5 Tm 0.1342 0.2905 0.6342
6 Tm 0.0912 0.1702 0.0912
7 Tm 0.8658 0.7095 0.3658
8 Tm 0.6745 0.3600 0.1745
9 Tm 0.5000 0.0000 0.5000
10 Tm 0.3255 0.6400 0.8255
11 Th 0.5000 0.5000 0.5000

Properties
SG = P2/m, No. 10
Excess energy over the best structure of this formula in the dataset = 0.000 eV per atom

---

No. 12
The following is a DFT calculation (PBE) of a geometry-optimized Tb3Tm4Th structure.

Unit cell a=3.5509 b=10.4865 c=7.9201 alpha=98.71 beta=63.40 gamma=109.81
Element x y z (fractional)
1 Tb 0.5000 0.5000 0.5000
2 Tb 0.0000 0.0000 0.5000
3 Tb 0.0000 0.5000 0.0000
4 Tm 0.4944 0.2466 0.7520
5 Tm 0.0012 0.7534 0.7519
6 Tm 0.9988 0.2466 0.2481
7 Tm 0.5056 0.7534 0.2480
8 Th 0.5000 0.0000 0.0000

Properties
SG = Pmmm, No. 47
Excess energy over the best structure of this formula in the dataset = 0.000 eV per atom

---

No. 13
The following is a DFT calculation (PBE) of a geometry-optimized Tb2Tm5Th2 structure.

Unit cell a=11.7838 b=6.5707 c=10.0039 alpha=109.17 beta=126.08 gamma=90.00
Element x y z (fractional)
1 Tm 0.8101 0.2631 0.1069
2 Tm 0.4137 0.5482 0.2848
3 Tm 0.2032 0.6561 0.8931
4 Tm 0.5863 0.2634 0.7152
5 Tm 0.6289 0.7634 0.7152
6 Tm 0.9865 0.1508 0.5000
7 Tm 0.1899 0.1561 0.8931
8 Tm 0.7968 0.7631 0.1069
9 Tm 0.0135 0.6508 0.5000
10 Tm 0.3711 0.0482 0.2848
11 Tb 0.8742 0.4249 0.7477
12 Tb 0.3735 0.9249 0.7477
13 Tb 0.6265 0.1772 0.2523
14 Tb 0.1258 0.6772 0.2523
15 Th 0.5000 0.5130 0.0000
16 Th 0.0000 0.0130 0.0000
17 Th 0.7473 0.8392 0.5000
18 Th 0.2527 0.3392 0.5000

Properties
SG = Ima2, No. 46
Excess energy over the best structure of this formula in the dataset = 0.086 eV per atom

---

No. 14
The following is a DFT calculation (PBE) of a geometry-optimized TbTm6Th12 structure.

Unit cell a=8.6950 b=8.6950 c=8.6950 alpha=99.60 beta=99.60 gamma=99.60
Element x y z (fractional)
1 Tm 0.3379 0.9007 0.9007
2 Tm 0.9007 0.9007 0.3379
3 Tm 0.6621 0.0993 0.0993
4 Tm 0.9007 0.3379 0.9007
5 Tm 0.0993 0.6621 0.0993
6 Tm 0.0993 0.0993 0.6621
7 Th 0.7542 0.2458 0.5000
8 Th 0.2458 0.5000 0.7542
9 Th 0.5000 0.2458 0.7542
10 Th 0.7542 0.5000 0.2458
11 Th 0.0829 0.3492 0.3492
12 Th 0.3492 0.3492 0.0829
13 Th 0.2458 0.7542 0.5000
14 Th 0.6508 0.6508 0.9171
15 Th 0.5000 0.7542 0.2458
16 Th 0.6508 0.9171 0.6508
17 Th 0.3492 0.0829 0.3492
18 Th 0.9171 0.6508 0.6508
19 Tb 0.0000 0.0000 0.0000

Properties
SG = R-3m, No. 166

---

No. 15
The following is a DFT calculation (PBE) of a geometry-optimized TbTmTh structure.

Unit cell a=7.5661 b=7.5661 c=6.8362 alpha=90.00 beta=90.00 gamma=90.42
Element x y z (fractional)
1 Tb 0.1593 0.1593 0.9999
2 Tb 0.6593 0.6593 0.5001
3 Tb 0.3407 0.3407 0.4999
4 Tb 0.8407 0.8407 0.0001
5 Tm 0.8425 0.1575 0.5000
6 Tm 0.6575 0.3425 0.0000
7 Tm 0.3425 0.6575 0.0000
8 Tm 0.1575 0.8425 0.5000
9 Th 0.5001 0.0001 0.7500
10 Th 0.0001 0.5001 0.7500
11 Th 0.4999 0.9999 0.2500
12 Th 0.9999 0.4999 0.2500

Properties
SG = Fmmm, No. 69
Excess energy over the best structure of this formula in the dataset = 0.239 eV per atom

---

No. 16
The following is a DFT calculation (PBE) of a geometry-optimized Tb3TmTh4 structure.

Unit cell a=3.4260 b=11.3359 c=8.8736 alpha=129.71 beta=101.13 gamma=90.00
Element x y z (fractional)
1 Th 0.3709 0.6177 0.7418
2 Th 0.3709 0.1237 0.7418
3 Th 0.6291 0.8763 0.2582
4 Th 0.6291 0.3823 0.2582
5 Tm 0.5000 0.0000 0.0000
6 Tb 0.7661 0.7661 0.5322
7 Tb 0.2339 0.2339 0.4678
8 Tb 0.0000 0.5000 0.0000

Properties
SG = Immm, No. 71

---

No. 17
The following is a DFT calculation (PBE) of a geometry-optimized TbTm2Th structure.

Unit cell a=3.5359 b=3.5359 c=9.9847 alpha=90.00 beta=90.00 gamma=90.00
Element x y z (fractional)
1 Tb 0.5000 0.5000 0.5000
2 Tm 0.0000 0.0000 0.7541
3 Tm 0.0000 0.0000 0.2459
4 Th 0.5000 0.5000 0.0000

Properties
SG = P4/mmm, No. 123
Excess energy over the best structure of this formula in the dataset = 0.000 eV per atom

---

No. 18
The following is a DFT calculation (PBE) of a geometry-optimized Tb4Tm2Th3 structure.

Unit cell a=3.5293 b=3.5293 c=26.6246 alpha=90.00 beta=90.00 gamma=120.00
Element x y z (fractional)
1 Tb 0.0000 0.0000 0.7653
2 Tb 0.0000 0.0000 0.5433
3 Tb 0.6667 0.3333 0.4335
4 Tb 0.6667 0.3333 0.2142
5 Th 0.0000 0.0000 0.3218
6 Th 0.6667 0.3333 0.6539
7 Th 0.0000 0.0000 0.9833
8 Tm 0.6667 0.3333 0.0896
9 Tm 0.6667 0.3333 0.8723

Properties
SG = P3m1, No. 156

---

No. 19
The following is a DFT calculation (PBE) of a geometry-optimized Tb4Tm3Th structure.

Unit cell a=3.4372 b=6.6851 c=11.7551 alpha=106.44 beta=98.41 gamma=90.00
Element x y z (fractional)
1 Th 0.5000 0.0000 0.0000
2 Tm 0.0000 0.5000 0.0000
3 Tm 0.1237 0.8840 0.2473
4 Tm 0.8763 0.1160 0.7527
5 Tb 0.7409 0.2374 0.4817
6 Tb 0.2591 0.7626 0.5183
7 Tb 0.1233 0.3656 0.2465
8 Tb 0.8767 0.6344 0.7535

Properties
SG = C2/m, No. 12
Excess energy over the best structure of this formula in the dataset = 0.156 eV per atom

---

No. 20
The following is a DFT calculation (PBE) of a geometry-optimized Tb3Tm4Th4 structure.

Unit cell a=5.6459 b=6.5831 c=10.6558 alpha=90.00 beta=90.00 gamma=115.39
Element x y z (fractional)
1 Tm 0.1019 0.2039 0.7038
2 Tm 0.6058 0.2117 0.5000
3 Tm 0.1019 0.2039 0.2962
4 Tm 0.5601 0.1201 0.0000
5 Tb 0.4093 0.8187 0.7123
6 Tb 0.2495 0.4990 0.0000
7 Tb 0.4093 0.8187 0.2877
8 Th 0.9485 0.8970 0.0000
9 Th 0.7638 0.5276 0.7889
10 Th 0.8845 0.7690 0.5000
11 Th 0.7638 0.5276 0.2111

Properties
SG = Amm2, No. 38

---

No. 21
The following is a DFT calculation (PBE) of a geometry-optimized TbTmTh structure.

Unit cell a=3.5681 b=3.5681 c=17.3143 alpha=90.03 beta=95.89 gamma=119.99
Element x y z (fractional)
1 Th 0.2781 0.1391 0.4172
2 Th 0.7219 0.8609 0.5828
3 Tb 0.3894 0.6939 0.0833
4 Tb 0.6106 0.3061 0.9167
5 Tm 0.1660 0.5835 0.7495
6 Tm 0.8340 0.4165 0.2505

Properties
SG = C2/m, No. 12
Excess energy over the best structure of this formula in the dataset = 0.000 eV per atom

---

| no. | E_tot (eV per atom) | energy of formation (eV/atom) |
| --- | --- | --- |
| 1 | -5.278 | 0.06 |
| 2 | -5.408 | 0.03 |
| 3 | -4.595 | 0.19 |
| 4 | -4.663 | 0.33 |
| 5 | -4.661 | 0.15 |
| 6 | -4.946 | 0.04 |
| 7 | -5.164 | 0.07 |
| 8 | -5.738 | 0.13 |
| 9 | -5.482 | 0.03 |
| 10 | -5.126 | 0.12 |
| 11 | -4.624 | 0.16 |
| 12 | -4.881 | 0.02 |
| 13 | -4.919 | 0.24 |
| 14 | -6.101 | 0.24 |
| 15 | -5.247 | 0.26 |
| 16 | -5.869 | 0.14 |
| 17 | -5.227 | 0.02 |
| 18 | -5.440 | 0.08 |
| 19 | -4.744 | 0.18 |
| 20 | -5.382 | 0.20 |
| 21 | -5.486 | 0.02 |